The following is a PBE calculation of an optimized crystal structure of CsTlIrF6, from the Alexandria database.

Its density of states at the Fermi level is 8.92 states/eV per cell. The formation energy (no corrections) is -1.948 eV per atom. The total energy is -4.54 eV/atom.

a = 6.598 Å, b = 6.598 Å, c = 5.574 Å
α = 90.06°, β = 90.06°, γ = 120.32°
Fractional coordinates of all 9 atoms:
Cs (0.000, 0.000, 0.000)
Tl (0.666, 0.334, 0.500)
Ir (0.333, 0.667, 0.500)
F (0.082, 0.416, 0.303)
F (0.087, 0.668, 0.699)
F (0.332, 0.913, 0.301)
F (0.335, 0.420, 0.700)
F (0.580, 0.665, 0.300)
F (0.584, 0.918, 0.697)

The following is a PBE calculation of an optimized crystal structure of Cs2YIrF6, from the Alexandria database.

Its density of states at the Fermi level is 0.00 states/eV per cell. The formation energy (no corrections) is -2.507 eV per atom. The total energy is -5.33 eV/atom.

a = 6.553 Å, b = 6.553 Å, c = 6.553 Å
α = 115.75°, β = 115.75°, γ = 97.53°
Fractional coordinates of all 10 atoms:
Cs (0.250, 0.750, 0.500)
Cs (0.750, 0.250, 0.500)
Y (0.000, 0.000, 0.000)
Ir (0.500, 0.500, 0.000)
F (0.221, 0.221, 0.441)
F (0.221, 0.779, 0.000)
F (0.256, 0.256, 0.000)
F (0.744, 0.744, 0.000)
F (0.779, 0.221, 0.000)
F (0.779, 0.779, 0.559)

The following is a PBE calculation of an optimized crystal structure of Cs4K3F, from the Alexandria database.

Its density of states at the Fermi level is 5.59 states/eV per cell. The formation energy (no corrections) is -0.625 eV per atom. The total energy is -1.70 eV/atom.

a = 9.697 Å, b = 9.697 Å, c = 9.697 Å
α = 121.25°, β = 103.57°, γ = 104.27°
Fractional coordinates of all 8 atoms:
Cs (0.196, 0.000, 0.196)
Cs (0.271, 0.034, 0.763)
Cs (0.271, 0.508, 0.237)
Cs (0.804, 0.000, 0.804)
K (0.409, 0.593, 0.815)
K (0.778, 0.593, 0.185)
K (0.815, 0.315, 0.500)
F (0.130, 0.130, 0.000)

The following is a PBE calculation of an optimized crystal structure of CsKF, from the Alexandria database.

Its density of states at the Fermi level is 0.85 states/eV per cell. The value obtained for the energy above the most stable polymorph in this dataset is 0.029 eV per atom. The formation energy (no corrections) is -1.680 eV per atom. The total energy is -2.95 eV/atom.

a = 4.332 Å, b = 4.332 Å, c = 7.720 Å
α = 90.00°, β = 90.00°, γ = 120.00°
Fractional coordinates of all 3 atoms:
Cs (0.000, 0.000, 0.000)
K (0.333, 0.667, 0.423)
F (0.667, 0.333, 0.215)

The following is a PBE calculation of an optimized crystal structure of Cs2KF, from the Alexandria database.

Its density of states at the Fermi level is 0.00 states/eV per cell. The value obtained for the energy above the most stable polymorph in this dataset is 0.553 eV per atom. The formation energy (no corrections) is -0.741 eV per atom. The total energy is -1.91 eV/atom.

a = 7.041 Å, b = 7.041 Å, c = 7.041 Å
α = 60.00°, β = 60.00°, γ = 60.00°
Fractional coordinates of all 4 atoms:
Cs (0.250, 0.250, 0.250)
Cs (0.750, 0.750, 0.750)
K (0.000, 0.000, 0.000)
F (0.500, 0.500, 0.500)

The following is a PBE calculation of an optimized crystal structure of CsKF3, from the Alexandria database.

Its density of states at the Fermi level is 3.68 states/eV per cell. The formation energy (no corrections) is -2.162 eV per atom. The total energy is -3.68 eV/atom.

a = 9.466 Å, b = 9.466 Å, c = 5.644 Å
α = 90.00°, β = 90.00°, γ = 148.44°
Fractional coordinates of all 10 atoms:
Cs (0.170, 0.830, 0.750)
Cs (0.830, 0.170, 0.250)
K (0.431, 0.569, 0.750)
K (0.569, 0.431, 0.250)
F (0.010, 0.377, 0.750)
F (0.377, 0.010, 0.250)
F (0.431, 0.569, 0.250)
F (0.569, 0.431, 0.750)
F (0.623, 0.990, 0.750)
F (0.990, 0.623, 0.250)

The following is a PBE calculation of an optimized crystal structure of CsK5F6, from the Alexandria database.

Its density of states at the Fermi level is 0.00 states/eV per cell. The formation energy (no corrections) is -2.701 eV per atom. The total energy is -4.16 eV/atom.

a = 6.794 Å, b = 6.794 Å, c = 6.783 Å
α = 99.66°, β = 99.66°, γ = 119.97°
Fractional coordinates of all 12 atoms:
Cs (0.000, 0.000, 0.000)
K (0.167, 0.833, 0.500)
K (0.333, 0.667, 0.000)
K (0.500, 0.500, 0.500)
K (0.667, 0.333, 0.000)
K (0.833, 0.167, 0.500)
F (0.086, 0.438, 0.256)
F (0.264, 0.264, 0.738)
F (0.438, 0.086, 0.256)
F (0.562, 0.914, 0.744)
F (0.736, 0.736, 0.262)
F (0.914, 0.562, 0.744)

The following is a PBE calculation of an optimized crystal structure of Cs3KF4, from the Alexandria database.

Its density of states at the Fermi level is 0.00 states/eV per cell. The formation energy (no corrections) is -2.649 eV per atom. The total energy is -4.04 eV/atom.

a = 7.277 Å, b = 7.277 Å, c = 4.205 Å
α = 90.00°, β = 90.00°, γ = 109.27°
Fractional coordinates of all 8 atoms:
Cs (0.000, 0.000, 0.000)
Cs (0.000, 0.500, 0.500)
Cs (0.500, 0.000, 0.500)
K (0.500, 0.500, 0.000)
F (0.261, 0.739, 0.000)
F (0.266, 0.266, 0.500)
F (0.734, 0.734, 0.500)
F (0.739, 0.261, 0.000)

The following is a PBE calculation of an optimized crystal structure of Cs12K3F5, from the Alexandria database.

Its density of states at the Fermi level is 48.48 states/eV per cell. The formation energy (no corrections) is -1.212 eV per atom. The total energy is -2.36 eV/atom.

a = 18.674 Å, b = 18.674 Å, c = 18.674 Å
α = 109.47°, β = 109.47°, γ = 109.47°
Fractional coordinates of all 80 atoms:
Cs (0.016, 0.692, 0.114)
Cs (0.016, 0.824, 0.902)
Cs (0.079, 0.676, 0.692)
Cs (0.079, 0.902, 0.386)
Cs (0.098, 0.614, 0.921)
Cs (0.098, 0.984, 0.176)
Cs (0.114, 0.016, 0.692)
Cs (0.114, 0.598, 0.421)
Cs (0.176, 0.098, 0.984)
Cs (0.176, 0.579, 0.192)
Cs (0.192, 0.176, 0.579)
Cs (0.192, 0.516, 0.614)
Cs (0.308, 0.886, 0.984)
Cs (0.308, 0.921, 0.324)
Cs (0.324, 0.308, 0.921)
Cs (0.324, 0.516, 0.402)
Cs (0.386, 0.079, 0.902)
Cs (0.386, 0.808, 0.484)
Cs (0.402, 0.324, 0.516)
Cs (0.402, 0.579, 0.886)
Cs (0.421, 0.114, 0.598)
Cs (0.421, 0.808, 0.824)
Cs (0.484, 0.386, 0.808)
Cs (0.484, 0.598, 0.676)
Cs (0.516, 0.402, 0.324)
Cs (0.516, 0.614, 0.192)
Cs (0.579, 0.192, 0.176)
Cs (0.579, 0.886, 0.402)
Cs (0.598, 0.421, 0.114)
Cs (0.598, 0.676, 0.484)
Cs (0.614, 0.192, 0.516)
Cs (0.614, 0.921, 0.098)
Cs (0.676, 0.484, 0.598)
Cs (0.676, 0.692, 0.079)
Cs (0.692, 0.079, 0.676)
Cs (0.692, 0.114, 0.016)
Cs (0.808, 0.484, 0.386)
Cs (0.808, 0.824, 0.421)
Cs (0.824, 0.421, 0.808)
Cs (0.824, 0.902, 0.016)
Cs (0.886, 0.402, 0.579)
Cs (0.886, 0.984, 0.308)
Cs (0.902, 0.016, 0.824)
Cs (0.902, 0.386, 0.079)
Cs (0.921, 0.098, 0.614)
Cs (0.921, 0.324, 0.308)
Cs (0.984, 0.176, 0.098)
Cs (0.984, 0.308, 0.886)
K (0.125, 0.250, 0.375)
K (0.125, 0.375, 0.750)
K (0.250, 0.375, 0.125)
K (0.250, 0.875, 0.625)
K (0.375, 0.125, 0.250)
K (0.375, 0.750, 0.125)
K (0.625, 0.250, 0.875)
K (0.625, 0.875, 0.750)
K (0.750, 0.125, 0.375)
K (0.750, 0.625, 0.875)
K (0.875, 0.625, 0.250)
K (0.875, 0.750, 0.625)
F (0.000, 0.000, 0.000)
F (0.000, 0.000, 0.500)
F (0.000, 0.500, 0.000)
F (0.000, 0.500, 0.500)
F (0.125, 0.750, 0.875)
F (0.125, 0.875, 0.250)
F (0.250, 0.125, 0.875)
F (0.250, 0.625, 0.375)
F (0.375, 0.250, 0.625)
F (0.375, 0.625, 0.750)
F (0.500, 0.000, 0.000)
F (0.500, 0.000, 0.500)
F (0.500, 0.500, 0.000)
F (0.500, 0.500, 0.500)
F (0.625, 0.375, 0.250)
F (0.625, 0.750, 0.375)
F (0.750, 0.375, 0.625)
F (0.750, 0.875, 0.125)
F (0.875, 0.125, 0.750)
F (0.875, 0.250, 0.125)

The following is a PBE calculation of an optimized crystal structure of CsK2F, from the Alexandria database.

Its density of states at the Fermi level is 3.16 states/eV per cell. The value obtained for the energy above the most stable polymorph in this dataset is 0.067 eV per atom. The formation energy (no corrections) is -1.198 eV per atom. The total energy is -2.43 eV/atom.

a = 12.184 Å, b = 12.184 Å, c = 12.184 Å
α = 20.61°, β = 20.61°, γ = 20.61°
Fractional coordinates of all 4 atoms:
Cs (0.000, 0.000, 0.000)
K (0.540, 0.540, 0.540)
K (0.792, 0.792, 0.792)
F (0.166, 0.166, 0.166)